Entry 1:
A relaxed structure of Cr2As2Pd, computed with PBE.

E_form = 24 meV/atom
Symmetry = No. 127
Calculated volume = 14.7 A^3/atom

abc: 7.0434 7.0434 2.9536
angles: 90.00 90.00 90.00
Closest atoms and distances in Å follow each position.
Fractional positions:
Cr 0.3643 0.8643 0.0000  6 As 2.52-2.55, 1 Cr 2.70, 2 Pd 2.74
Cr 0.8643 0.6357 0.0000  6 As 2.52-2.55, 1 Cr 2.70, 2 Pd 2.74
Cr 0.6357 0.1357 0.0000  6 As 2.52-2.55, 1 Cr 2.70, 2 Pd 2.74
Cr 0.1357 0.3643 0.0000  6 As 2.52-2.55, 1 Cr 2.70, 2 Pd 2.74
As 0.1590 0.6590 0.5000  6 Cr 2.52-2.55
As 0.6590 0.8410 0.5000  6 Cr 2.52-2.55
As 0.8410 0.3410 0.5000  6 Cr 2.52-2.55
As 0.3410 0.1590 0.5000  6 Cr 2.52-2.55
Pd 0.0000 0.0000 0.0000  4 Cr 2.74, 2 Pd 2.95, 8 As 3.03
Pd 0.5000 0.5000 0.0000  4 Cr 2.74, 2 Pd 2.95, 8 As 3.03

Entry 2:
A relaxed structure of UAgPdPb, computed with PBE.

E_form = 32 meV/atom
Symmetry = No. 216
Calculated volume = 21.9 A^3/atom

abc: 4.9850 4.9850 4.9850
angles: 60.00 60.00 60.00
Closest atoms and distances in Å follow each position.
Fractional positions:
Pb 0.7500 0.7500 0.7500  4 Pd 3.05, 4 Ag 3.05
U 0.2500 0.2500 0.2500  4 Pd 3.05, 4 Ag 3.05
Pd 0.5000 0.5000 0.5000  4 U 3.05, 4 Pb 3.05
Ag 0.0000 0.0000 0.0000  4 Pb 3.05, 4 U 3.05

Entry 3:
A relaxed structure of MnRe2P, computed with PBE.

E_form = -126 meV/atom
Symmetry = No. 99
Calculated volume = 12.9 A^3/atom

abc: 2.8265 2.8265 6.4432
angles: 90.00 90.00 90.00
Closest atoms and distances in Å follow each position.
Fractional positions:
Mn 0.0000 0.0000 0.5371  4 P 2.35
Re 0.0000 0.0000 0.9719  4 P 2.54, 8 Re 2.74-2.83, 1 Mn 2.80
Re 0.5000 0.5000 0.2633  4 Mn 2.67, 8 Re 2.74-2.83
P 0.5000 0.5000 0.7276  4 Mn 2.35, 4 Re 2.54

Entry 4:
A relaxed structure of RbLiCa3, computed with PBE.

E_form = 967 meV/atom
Polymorph energy (0 for the lowest one) = 0.746 eV/atom
Symmetry = No. 221
Calculated volume = 64.3 A^3/atom

abc: 6.8489 6.8489 6.8489
angles: 90.00 90.00 90.00
Closest atoms and distances in Å follow each position.
Fractional positions:
Ca 0.0000 0.5000 0.0000  2 Rb 3.42
Ca 0.0000 0.0000 0.5000  2 Rb 3.42
Ca 0.5000 0.0000 0.0000  2 Rb 3.42
Rb 0.0000 0.0000 0.0000  6 Ca 3.42
Li 0.5000 0.5000 0.5000  12 Ca 4.84